Entry 1:
DFT (PBE-GGA) results for Rb2CuHSe2 after structural relaxation.

Lattice parameters (Å, degrees): 8.4505 8.4505 8.4505 129.34 70.10 134.95
Closest atoms and distances in Å follow each position.
Fractional coordinates of all 12 atoms:
1 Rb 0.1457 0.1759 0.3216  2 H 2.88
2 Rb 0.3543 0.6759 0.0302  2 H 2.88
3 Rb 0.6457 0.3241 0.9698  2 H 2.88
4 Rb 0.8543 0.8241 0.6784  2 H 2.88
5 Cu 0.2500 0.7500 0.5000  4 Se 2.46
6 Cu 0.7500 0.2500 0.5000  4 Se 2.46
7 H 0.2500 0.2500 0.0000  4 Rb 2.88, 4 Se 3.07
8 H 0.7500 0.7500 0.0000  4 Rb 2.88, 4 Se 3.07
9 Se 0.0922 0.6858 0.7780  2 Cu 2.46
10 Se 0.4078 0.1858 0.5936  2 Cu 2.46
11 Se 0.5922 0.8142 0.4064  2 Cu 2.46
12 Se 0.9078 0.3142 0.2220  2 Cu 2.46

Space-group type: Ibam (72)
DOS(E_F) (states/eV/atom): 0.920

=====

Entry 2:
DFT (PBE-GGA) results for PmHo2Mg after structural relaxation.

Lattice parameters (Å, degrees): 7.8102 7.8102 7.8102 90.00 90.00 90.00
Closest atoms and distances in Å follow each position.
Fractional coordinates of all 16 atoms:
1 Pm 0.0000 0.0000 0.0000  8 Ho 3.38
2 Pm 0.0000 0.5000 0.5000  8 Ho 3.38
3 Pm 0.5000 0.0000 0.5000  8 Ho 3.38
4 Pm 0.5000 0.5000 0.0000  8 Ho 3.38
5 Ho 0.2500 0.2500 0.2500  4 Mg 3.38, 4 Pm 3.38
6 Ho 0.2500 0.2500 0.7500  4 Mg 3.38, 4 Pm 3.38
7 Ho 0.2500 0.7500 0.2500  4 Mg 3.38, 4 Pm 3.38
8 Ho 0.2500 0.7500 0.7500  4 Mg 3.38, 4 Pm 3.38
9 Ho 0.7500 0.2500 0.2500  4 Mg 3.38, 4 Pm 3.38
10 Ho 0.7500 0.2500 0.7500  4 Mg 3.38, 4 Pm 3.38
11 Ho 0.7500 0.7500 0.2500  4 Mg 3.38, 4 Pm 3.38
12 Ho 0.7500 0.7500 0.7500  4 Pm 3.38, 4 Mg 3.38
13 Mg 0.0000 0.0000 0.5000  8 Ho 3.38
14 Mg 0.0000 0.5000 0.0000  8 Ho 3.38
15 Mg 0.5000 0.0000 0.0000  8 Ho 3.38
16 Mg 0.5000 0.5000 0.5000  8 Ho 3.38

Space-group type: Fm-3m (225)
DOS(E_F) (states/eV/atom): 1.406

=====

Entry 3:
DFT (PBE-GGA) results for KNaAgHg2 after structural relaxation.

Lattice parameters (Å, degrees): 5.4953 5.4953 5.5776 90.00 90.00 90.00
Closest atoms and distances in Å follow each position.
Fractional coordinates of all 5 atoms:
1 K 0.0000 0.0000 0.0000  4 Na 3.89, 8 Hg 3.91
2 Na 0.5000 0.5000 0.0000  2 Ag 2.79
3 Ag 0.5000 0.5000 0.5000  4 Hg 2.75, 2 Na 2.79
4 Hg 0.0000 0.5000 0.5000  2 Ag 2.75
5 Hg 0.5000 0.0000 0.5000  2 Ag 2.75

Space-group type: P4/mmm (123)
DOS(E_F) (states/eV/atom): 0.414

=====

Entry 4:
DFT (PBE-GGA) results for Ca3TbCe2As6 after structural relaxation.

Lattice parameters (Å, degrees): 7.3469 7.3469 7.2481 99.73 99.73 120.03
Closest atoms and distances in Å follow each position.
Fractional coordinates of all 12 atoms:
1 Ca 0.0000 0.0000 0.0000  6 As 3.03-3.05
2 Ca 0.3343 0.6657 0.0000  6 As 3.04-3.05
3 Ca 0.6657 0.3343 0.0000  6 As 3.04-3.05
4 Tb 0.5000 0.5000 0.5000  6 As 2.94
5 Ce 0.1666 0.8334 0.5000  6 As 2.92
6 Ce 0.8334 0.1666 0.5000  6 As 2.92
7 As 0.0865 0.4215 0.2643  2 Ce 2.92, 1 Tb 2.94, 3 Ca 3.04-3.05
8 As 0.2436 0.2436 0.7358  2 Ce 2.92, 1 Tb 2.94, 3 Ca 3.03-3.04
9 As 0.4215 0.0865 0.2643  2 Ce 2.92, 1 Tb 2.94, 3 Ca 3.04-3.05
10 As 0.5785 0.9135 0.7357  2 Ce 2.92, 1 Tb 2.94, 3 Ca 3.04-3.05
11 As 0.7564 0.7564 0.2642  2 Ce 2.92, 1 Tb 2.94, 3 Ca 3.03-3.04
12 As 0.9135 0.5785 0.7357  2 Ce 2.92, 1 Tb 2.94, 3 Ca 3.04-3.05

Space-group type: C2/m (12)
DOS(E_F) (states/eV/atom): 0.927

=====

We obtain energy values of -3.023, -3.787, -1.252, -5.464 eV/atom for the records listed above, in that order.